1.
# LaAlPt2

An optimized crystal structure of LaAlPt2 (PBE, Alexandria via LeMat-Bulk).

Cell: 3.177 3.177 7.458 Å, 90.00 90.00 90.00°
Fractional coordinates of all 4 atoms:
La: 0.000 0.000 0.000
Al: 0.000 0.000 0.500
Pt: 0.500 0.500 0.305
Pt: 0.500 0.500 0.695

Calculated values
* raw total energy: -6.11 eV/atom
* formation energy from the elements: -0.9182 eV/atom
* crystal system: tetragonal
* total magnetization: 0.000 μB per atom

2.
# SmGdCuAu

An optimized crystal structure of SmGdCuAu (PBE, Alexandria via LeMat-Bulk).

Cell: 7.207 7.207 7.207 Å, 90.00 90.00 90.00°
Fractional coordinates of all 16 atoms:
Sm: 0.000 0.000 0.000
Sm: 0.000 0.500 0.500
Sm: 0.500 0.000 0.500
Sm: 0.500 0.500 0.000
Gd: 0.000 0.000 0.500
Gd: 0.000 0.500 0.000
Gd: 0.500 0.000 0.000
Gd: 0.500 0.500 0.500
Cu: 0.250 0.250 0.250
Cu: 0.250 0.750 0.750
Cu: 0.750 0.250 0.750
Cu: 0.750 0.750 0.250
Au: 0.250 0.250 0.750
Au: 0.250 0.750 0.250
Au: 0.750 0.250 0.250
Au: 0.750 0.750 0.750

Calculated values
* raw total energy: -7.04 eV/atom
* formation energy from the elements: -0.4987 eV/atom
* crystal system: cubic
* total magnetization: 1.808 μB per atom

3.
# GeBi2I

An optimized crystal structure of GeBi2I (PBE, Alexandria via LeMat-Bulk).

Cell: 7.729 7.729 7.729 Å, 90.00 90.00 90.00°
Fractional coordinates of all 16 atoms:
Ge: 0.000 0.000 0.000
Ge: 0.000 0.500 0.500
Ge: 0.500 0.000 0.500
Ge: 0.500 0.500 0.000
Bi: 0.250 0.250 0.250
Bi: 0.250 0.250 0.750
Bi: 0.250 0.750 0.250
Bi: 0.250 0.750 0.750
Bi: 0.750 0.250 0.250
Bi: 0.750 0.250 0.750
Bi: 0.750 0.750 0.250
Bi: 0.750 0.750 0.750
I: 0.000 0.000 0.500
I: 0.000 0.500 0.000
I: 0.500 0.000 0.000
I: 0.500 0.500 0.500

Calculated values
* raw total energy: -3.16 eV/atom
* crystal system: cubic
* total magnetization: 0.000 μB per atom
* polymorph energy (0 for the lowest one): 64 meV/atom
* energy relative to the elements, uncorrected: 0.325 eV/atom